VASP calculation (GGA+U) on SrCaYVO6 after structural relaxation.

Cell: 8.174 8.174 8.174 Å, 90.00 90.00 90.00°
Space group F-43m (No. 216)
Unique sites:
Sr1 0.000 0.000 0.000 (multiplicity 4)
Ca1 0.000 0.000 0.500 (multiplicity 4)
Y1 0.250 0.250 0.250 (multiplicity 4)
V1 0.250 0.250 0.750 (multiplicity 4)
O1 0.019 0.250 0.750 (multiplicity 24)

E_tot = -296.26 eV per cell